1.
Below is TiPtF2 after structural relaxation, with properties calculated at the PBE-GGA level.

Energy relative to the lowest polymorph listed for this composition in eV per atom: 0.000
ρ in g/cm3: 6.8

Lattice parameters (Å, degrees): 10.3585 10.3585 10.3585 15.44 15.44 15.44
Closest atoms and distances in Å follow each position.
Atoms (fractional coordinates):
F 0.9417 0.9417 0.9417  1 Ti 1.79
F 0.0583 0.0583 0.0583  1 Ti 1.79
Pt 0.5000 0.5000 0.5000  6 Pt 2.78
Ti 0.0000 0.0000 0.0000  2 F 1.79

2.
Below is TiTl2PtF after structural relaxation, with properties calculated at the PBE-GGA level.

ρ in g/cm3: 9.8
DFT total energy in eV per atom: -4.374

Lattice parameters (Å, degrees): 5.4765 3.7978 5.4765 90.00 90.00 90.00
Closest atoms and distances in Å follow each position.
Atoms (fractional coordinates):
Tl 0.0000 0.0000 0.5000  2 Ti 2.74
Tl 0.5000 0.0000 0.0000  2 Ti 2.74
F 0.0000 0.5000 0.0000  2 Ti 1.90
Pt 0.5000 0.5000 0.5000  8 Tl 3.33
Ti 0.0000 0.0000 0.0000  2 F 1.90

3.
Below is Zr2TiPtF after structural relaxation, with properties calculated at the PBE-GGA level.

ρ in g/cm3: 8.2
DFT total energy in eV per atom: -7.162

Lattice parameters (Å, degrees): 4.2619 4.9839 4.2619 90.00 90.00 90.00
Closest atoms and distances in Å follow each position.
Atoms (fractional coordinates):
F 0.0000 0.0000 0.0000  4 Zr 2.13
Zr 0.0000 0.0000 0.5000  2 F 2.13
Zr 0.5000 0.0000 0.0000  2 F 2.13
Pt 0.0000 0.5000 0.0000  2 F 2.49
Ti 0.5000 0.5000 0.5000  4 Pt 3.01, 8 Zr 3.28

4.
Below is Tl2PtF4 after structural relaxation, with properties calculated at the PBE-GGA level.

ρ in g/cm3: 8.1
DFT total energy in eV per atom: -3.970

Lattice parameters (Å, degrees): 4.5545 4.5545 7.4367 72.17 72.17 90.00
Closest atoms and distances in Å follow each position.
Atoms (fractional coordinates):
Tl 0.6383 0.6383 0.7233  5 F 2.78-2.94
Tl 0.3617 0.3617 0.2767  5 F 2.78-2.94
Pt 0.0000 0.0000 0.0000  6 F 2.06-2.28
F 0.8460 0.8460 0.3080  1 Pt 2.06
F 0.1540 0.1540 0.6920  1 Pt 2.06
F 0.0000 0.5000 0.0000  2 Pt 2.28
F 0.5000 0.0000 0.0000  2 Pt 2.28

5.
Below is TlPt2F after structural relaxation, with properties calculated at the PBE-GGA level.

Energy relative to the lowest polymorph listed for this composition in eV per atom: 0.266
ρ in g/cm3: 15.5

Lattice parameters (Å, degrees): 4.5328 4.5328 4.5328 60.00 60.00 60.00
Closest atoms and distances in Å follow each position.
Atoms (fractional coordinates):
Tl 0.5000 0.5000 0.5000  8 Pt 2.78
Pt 0.2500 0.2500 0.2500  4 Tl 2.78, 4 F 2.78
Pt 0.7500 0.7500 0.7500  4 Tl 2.78, 4 F 2.78
F 0.0000 0.0000 0.0000  8 Pt 2.78

6.
Below is Tl6PtF12 after structural relaxation, with properties calculated at the PBE-GGA level.

ρ in g/cm3: 7.0
DFT total energy in eV per atom: -3.913

Lattice parameters (Å, degrees): 7.4301 7.4301 7.4301 99.36 99.36 99.36
Closest atoms and distances in Å follow each position.
Atoms (fractional coordinates):
Tl 0.1461 0.3115 0.6016  5 F 2.51-2.80
Tl 0.6885 0.3984 0.8539  5 F 2.51-2.80
Tl 0.3984 0.8539 0.6885  5 F 2.51-2.80
Tl 0.8539 0.6885 0.3984  5 F 2.51-2.80
Tl 0.3115 0.6016 0.1461  5 F 2.51-2.80
Tl 0.6016 0.1461 0.3115  5 F 2.51-2.80
Pt 0.0000 0.0000 0.0000  6 F 1.98
F 0.4403 0.1811 0.5840  4 Tl 2.51-2.66
F 0.1811 0.5840 0.4403  4 Tl 2.51-2.66
F 0.5840 0.4403 0.1811  4 Tl 2.51-2.66
F 0.5597 0.8189 0.4160  4 Tl 2.51-2.66
F 0.8189 0.4160 0.5597  4 Tl 2.51-2.66
F 0.4160 0.5597 0.8189  4 Tl 2.51-2.66
F 0.0185 0.9314 0.7355  1 Pt 1.98
F 0.2645 0.9815 0.0686  1 Pt 1.98
F 0.0686 0.2645 0.9815  1 Pt 1.98
F 0.9815 0.0686 0.2645  1 Pt 1.98
F 0.7355 0.0185 0.9314  1 Pt 1.98
F 0.9314 0.7355 0.0185  1 Pt 1.98

7.
Below is Tl2PtF5 after structural relaxation, with properties calculated at the PBE-GGA level.

ρ in g/cm3: 7.4
DFT total energy in eV per atom: -4.090

Lattice parameters (Å, degrees): 6.0938 4.5298 6.8177 109.42 116.53 90.00
Closest atoms and distances in Å follow each position.
Atoms (fractional coordinates):
Tl 0.3714 0.3368 0.7151  6 F 2.80-2.83
Tl 0.6841 0.6493 0.3404  6 F 2.80-2.83
Pt 0.0279 0.9933 0.0279  4 F 2.01
F 0.6722 0.8644 0.7702  1 Pt 2.01
F 0.9299 0.1223 0.2857  1 Pt 2.01
F 0.1259 0.8644 0.7701  1 Pt 2.01
F 0.3836 0.1222 0.2856  1 Pt 2.01
F 0.0279 0.4933 0.0279  2 Pt 2.26-2.27

8.
Below is TlPt2F after structural relaxation, with properties calculated at the PBE-GGA level.

Energy relative to the lowest polymorph listed for this composition in eV per atom: 0.000
ρ in g/cm3: 14.2

Lattice parameters (Å, degrees): 3.7413 3.7413 10.5584 79.79 79.79 90.00
Closest atoms and distances in Å follow each position.
Atoms (fractional coordinates):
Tl 0.0000 0.0000 0.0000  4 F 2.65, 4 Pt 2.88
Tl 0.7500 0.2500 0.5000  4 F 2.65, 4 Pt 2.88
Pt 0.6229 0.1250 0.2500  4 Pt 2.63-2.66, 2 F 2.87, 2 Tl 2.88
Pt 0.1271 0.6250 0.2500  4 Pt 2.63-2.66, 2 F 2.87, 2 Tl 2.88
Pt 0.3750 0.3771 0.7500  4 Pt 2.63-2.66, 2 F 2.87, 2 Tl 2.88
Pt 0.8750 0.8729 0.7500  4 Pt 2.63-2.66, 2 F 2.87, 2 Tl 2.88
F 0.5000 0.5000 0.0000  4 Tl 2.65, 4 Pt 2.87
F 0.2500 0.7500 0.5000  4 Tl 2.65, 4 Pt 2.87

9.
Below is Tl4PtF2 after structural relaxation, with properties calculated at the PBE-GGA level.

ρ in g/cm3: 9.1
DFT total energy in eV per atom: -3.594

Lattice parameters (Å, degrees): 5.3003 5.3003 7.7820 70.09 70.09 90.00
Closest atoms and distances in Å follow each position.
Atoms (fractional coordinates):
Tl 0.7798 0.7798 0.4404  1 F 2.38
Tl 0.2202 0.2202 0.5596  1 F 2.38
Tl 0.0000 0.5000 0.0000  2 Pt 2.65
Tl 0.5000 0.0000 0.0000  2 Pt 2.65
Pt 0.0000 0.0000 0.0000  4 Tl 2.65
F 0.6050 0.6050 0.7901  1 Tl 2.38
F 0.3950 0.3950 0.2099  1 Tl 2.38

10.
Below is TlPtF5 after structural relaxation, with properties calculated at the PBE-GGA level.

ρ in g/cm3: 6.9
DFT total energy in eV per atom: -3.954

Lattice parameters (Å, degrees): 5.2934 5.2934 12.1245 77.71 111.32 130.91
Closest atoms and distances in Å follow each position.
Atoms (fractional coordinates):
Tl 0.3461 0.5961 0.2500  6 F 2.20-2.30
Tl 0.6539 0.4039 0.7500  6 F 2.20-2.30
Pt 0.0000 0.0000 0.0000  4 F 1.98-1.99
Pt 0.0000 0.5000 0.5000  4 F 1.98-1.99
F 0.0784 0.8252 0.1599  1 Pt 1.98
F 0.3830 0.7153 0.4295  1 Pt 1.99
F 0.3347 0.5815 0.6599  1 Pt 1.98
F 0.8462 0.0962 0.2500  2 Tl 2.20
F 0.2857 0.4535 0.0705  1 Pt 1.99
F 0.7143 0.5465 0.9295  1 Pt 1.99
F 0.1538 0.9038 0.7500  2 Tl 2.20
F 0.6653 0.4185 0.3401  1 Pt 1.98
F 0.6170 0.2847 0.5705  1 Pt 1.99
F 0.9216 0.1748 0.8401  1 Pt 1.98

11.
Below is TmPtF after structural relaxation, with properties calculated at the PBE-GGA level.

ρ in g/cm3: 11.2
DFT total energy in eV per atom: -6.439

Lattice parameters (Å, degrees): 3.6384 7.1896 5.0366 69.41 68.73 75.29
Closest atoms and distances in Å follow each position.
Atoms (fractional coordinates):
F 0.8515 0.4653 0.8326  3 Tm 2.32, 2 F 2.54
F 0.1485 0.5347 0.1674  3 Tm 2.32, 2 F 2.54
Tm 0.3769 0.2556 0.9910  3 F 2.32
Tm 0.6231 0.7444 0.0090  3 F 2.32
Pt 0.8656 0.9650 0.3065  3 Pt 2.71-2.78, 4 Tm 2.80-2.98
Pt 0.1344 0.0350 0.6935  3 Pt 2.71-2.78, 4 Tm 2.80-2.98